1.
Below is crystalline Rb2NaI6Br at its relaxed geometry, with properties calculated at the GGA-PBE level.

The structure belongs to space group I4/mmm (No. 139); the cell edges are 8.484, 8.484 and 13.513 Å and the angles 90.00°, 90.00° and 90.00°. Symmetry generates all atoms from Rb at (0.000, 0.500, 0.250), Na at (0.000, 0.000, 0.000), I at (0.000, 0.000, 0.218), I at (0.234, 0.234, 0.500) and Br at (0.000, 0.000, 0.500).

The uncorrected energy is -2.080 eV/atom.



2.
Below is crystalline Ac2Pr7Tm4 at its relaxed geometry, with properties calculated at the GGA-PBE level.

The structure belongs to space group P-31m (No. 162); the cell edges are 6.3778, 6.3778 and 13.2316 Å and the angles 90.00°, 90.00° and 120.00°. Symmetry generates all atoms from Ac at (0.3333, 0.6667, 0.0000), Pr at (0.0000, 0.0000, 0.0000), Pr at (0.0000, 0.3768, 0.7662), Tm at (0.0000, 0.0000, 0.3929) and Tm at (0.3333, 0.6667, 0.5000).

The uncorrected energy is -4.366 eV/atom. Its formation energy is 0.215 eV per atom.



Which of these has the lowest uncorrected energy? Ac2Pr7Tm4



Please write out number 1 again, unchanged.
Below is crystalline Rb2NaI6Br at its relaxed geometry, with properties calculated at the GGA-PBE level.

The structure belongs to space group I4/mmm (No. 139); the cell edges are 8.484, 8.484 and 13.513 Å and the angles 90.00°, 90.00° and 90.00°. Symmetry generates all atoms from Rb at (0.000, 0.500, 0.250), Na at (0.000, 0.000, 0.000), I at (0.000, 0.000, 0.218), I at (0.234, 0.234, 0.500) and Br at (0.000, 0.000, 0.500).

The uncorrected energy is -2.080 eV/atom.